GdTm2SbO6: relaxed, PBE.

- Uncorrected energy: -76.72 eV for the cell shown

```
data_GdTm2SbO6
_space_group_name_H-M_alt 'P 1'
_space_group_IT_number 1
_cell_length_a 3.565
_cell_length_b 5.695
_cell_length_c 6.993
_cell_angle_alpha 90.63
_cell_angle_beta 99.01
_cell_angle_gamma 91.14
loop_
_space_group_symop_operation_xyz
'x,y,z'
loop_
_atom_site_label
_atom_site_type_symbol
_atom_site_fract_x
_atom_site_fract_y
_atom_site_fract_z
Gd1 Gd 0.000 0.000 0.000
Tm1 Tm 0.401 0.493 0.763
Tm2 Tm 0.742 0.525 0.260
Sb1 Sb 0.610 0.993 0.531
O1 O 0.313 0.480 0.427
O2 O 0.477 0.734 0.015
O3 O 0.520 0.262 0.037
O4 O 0.888 0.749 0.712
O5 O 0.903 0.242 0.720
O6 O 0.909 0.925 0.322
```